(1)
Compound: TcNiBr
Source: Alexandria via LeMat-Bulk
Functional: PBE-GGA
Structure: relaxed Values from VASP.

```
&SYSTEM
  ibrav = 0, nat = 6, ntyp = 3
/
ATOMIC_SPECIES
Tc 98.00 Tc.upf
Ni 58.69 Ni.upf
Br 79.90 Br.upf
ATOMIC_POSITIONS crystal
Tc 0.047 0.047 0.260
Tc 0.953 0.953 0.740
Ni 0.455 0.455 0.236
Ni 0.545 0.545 0.764
Br 0.344 0.344 0.791
Br 0.656 0.656 0.209
CELL_PARAMETERS angstrom
8.819 -1.906 0.000
8.819 1.906 0.000
-0.401 0.000 3.664
```

Output
- total moment (μB per formula unit) = 0.0
- energy (eV per formula unit) = -17.8
- energy above the most stable polymorph in this dataset (meV/atom) = 0.0
- formation energy (no corrections) (meV/atom) = 17.7
- density of states at the Fermi level (states/eV per atom) = 0.52
- calculated volume (Å³/atom) = 20.53



(2)
Compound: TcNi2Br
Source: Alexandria via LeMat-Bulk
Functional: PBE-GGA
Structure: relaxed Values from VASP.

```
&SYSTEM
  ibrav = 0, nat = 4, ntyp = 3
/
ATOMIC_SPECIES
Tc 98.00 Tc.upf
Ni 58.69 Ni.upf
Br 79.90 Br.upf
ATOMIC_POSITIONS crystal
Tc 0.000 0.000 0.000
Ni 0.000 0.500 0.500
Ni 0.500 0.500 0.000
Br 0.500 0.000 0.500
CELL_PARAMETERS angstrom
2.914 0.000 0.000
0.000 4.371 0.000
0.000 0.000 4.447
```

Output
- total moment (μB per formula unit) = 2.3
- energy (eV per formula unit) = -20.5
- energy above the most stable polymorph in this dataset (meV/atom) = 378.0
- formation energy (no corrections) (meV/atom) = 787.2
- density of states at the Fermi level (states/eV per atom) = 1.32
- calculated volume (Å³/atom) = 14.16